# CaLa2BiOs, relaxed, DFT GGA-PBE
# Energy relative to the elements, meV per atom: -354
# ρ, g cm⁻³: 7.135
# N(E_F), states/eV per cell: 3.0
data_CaLa2BiOs
_cell_length_a 5.461
_cell_length_b 5.461
_cell_length_c 5.596
_cell_angle_alpha 90.00
_cell_angle_beta 90.00
_cell_angle_gamma 90.00
_symmetry_space_group_name_H-M 'P 4/m m m'
_symmetry_Int_Tables_number 123
_symmetry_space_group_name_Hall '-P 4 2'
loop_
_atom_site_label
_atom_site_type_symbol
_atom_site_fract_x
_atom_site_fract_y
_atom_site_fract_z
Ca1 Ca 0.000 0.000 0.000
La1 La 0.000 0.500 0.500
Bi1 Bi 0.500 0.500 0.000
Os1 Os 0.000 0.000 0.500